Entry 1:
Here is an optimized crystal structure of La5Dy6Th2 from Alexandria via LeMat-Bulk. Energies are from PBE.

## Properties
The space group is Pbam, No. 55. The formation energy comes out at 1.354 eV/f.u.

Cell lengths 3.6197, 11.6540, 21.1880 Å; angles 90.00, 90.00, 90.00 degrees
With the nearest neighbours (Å) after each atom.
Sites, in units of the cell vectors:
1 Th 0.0000 0.8067 0.2368  4 Dy 3.42-3.81, 6 La 3.52-3.77, 2 Th 3.62
2 La 0.5000 0.6917 0.5808  4 La 3.62-3.98, 6 Dy 3.70-3.73, 2 Th 3.77
3 Dy 0.0000 0.4168 0.5612  5 Dy 3.24-3.62, 2 La 3.54
4 La 0.5000 0.0000 0.5000  6 Dy 3.41-3.72, 2 La 3.62
5 Dy 0.0000 0.0597 0.3504  2 Th 3.42-3.81, 4 Dy 3.45-3.62, 6 La 3.58-3.72
6 La 0.5000 0.3083 0.4192  4 La 3.62-3.98, 6 Dy 3.70-3.73, 2 Th 3.77
7 Dy 0.0000 0.5832 0.4388  5 Dy 3.24-3.62, 2 La 3.54
8 Dy 0.0000 0.9403 0.6496  2 Th 3.42-3.81, 4 Dy 3.45-3.62, 6 La 3.58-3.72
9 Th 0.0000 0.1933 0.7632  4 Dy 3.42-3.81, 6 La 3.52-3.77, 2 Th 3.62
10 La 0.5000 0.0590 0.2044  5 Dy 3.42-3.58, 4 Th 3.52-3.63, 2 La 3.62
11 La 0.5000 0.5590 0.2956  5 Dy 3.42-3.58, 4 Th 3.52-3.63, 2 La 3.62
12 Dy 0.0000 0.4403 0.8504  2 Th 3.42-3.81, 4 Dy 3.45-3.62, 6 La 3.58-3.72
13 La 0.5000 0.8083 0.0808  4 La 3.62-3.98, 6 Dy 3.70-3.73, 2 Th 3.77
14 La 0.5000 0.5000 0.0000  6 Dy 3.41-3.72, 2 La 3.62
15 La 0.5000 0.9410 0.7956  5 Dy 3.42-3.58, 4 Th 3.52-3.63, 2 La 3.62
16 Dy 0.0000 0.0832 0.0612  5 Dy 3.24-3.62, 2 La 3.54
17 Dy 0.0000 0.5597 0.1496  2 Th 3.42-3.81, 4 Dy 3.45-3.62, 6 La 3.58-3.72
18 La 0.5000 0.4410 0.7044  5 Dy 3.42-3.58, 4 Th 3.52-3.63, 2 La 3.62
19 Dy 0.5000 0.1875 0.6235  2 La 3.41-3.42, 6 Dy 3.45-3.62, 2 Th 3.47
20 Th 0.0000 0.6933 0.7368  4 Dy 3.42-3.81, 6 La 3.52-3.77, 2 Th 3.62
21 Dy 0.5000 0.3125 0.1235  2 La 3.41-3.42, 6 Dy 3.45-3.62, 2 Th 3.47
22 Dy 0.5000 0.6875 0.8765  2 La 3.41-3.42, 6 Dy 3.45-3.62, 2 Th 3.47
23 Dy 0.5000 0.8125 0.3765  2 La 3.41-3.42, 6 Dy 3.45-3.62, 2 Th 3.47
24 Th 0.0000 0.3067 0.2632  4 Dy 3.42-3.81, 6 La 3.52-3.77, 2 Th 3.62
25 La 0.5000 0.1917 0.9192  4 La 3.62-3.98, 6 Dy 3.70-3.73, 2 Th 3.77
26 Dy 0.0000 0.9168 0.9388  5 Dy 3.24-3.62, 2 La 3.54

Entry 2:
Here is an optimized crystal structure of PbAu5S4 from Alexandria via LeMat-Bulk. Energies are from PBE.

## Properties
The space group is C2/m, No. 12. The calculation puts the formation energy from raw total energies at -0.01 eV/atom.

Cell lengths 4.3366, 7.5991, 8.5818 Å; angles 114.27, 104.64, 90.00 degrees
With the nearest neighbours (Å) after each atom.
Sites, in units of the cell vectors:
1 S 0.1066 0.2589 0.2133  2 Au 2.29-2.42
2 S 0.8934 0.7411 0.7867  2 Au 2.29-2.42
3 S 0.3732 0.1976 0.7463  2 Au 2.36-2.37
4 S 0.6268 0.8024 0.2537  2 Au 2.36-2.37
5 Au 0.8726 0.4066 0.7451  3 S 2.42-2.69
6 Au 0.5000 0.5000 0.0000  2 S 2.37
7 Au 0.7590 0.7585 0.5180  2 S 2.29-2.36
8 Au 0.1274 0.5934 0.2549  3 S 2.42-2.69
9 Au 0.2410 0.2415 0.4820  2 S 2.29-2.36
10 Pb 0.5000 0.0000 0.0000  6 S 2.96-3.06

Entry 3:
Here is an optimized crystal structure of Na3CO5 from Alexandria via LeMat-Bulk. Energies are from PBE.

## Properties
The space group is P1, No. 1. The calculation puts the formation energy from raw total energies at -1.35 eV/atom.

Cell lengths 5.4960, 5.5254, 7.4500 Å; angles 66.50, 66.48, 102.55 degrees
With the nearest neighbours (Å) after each atom.
Sites, in units of the cell vectors:
1 O 0.9078 0.9249 0.9206  1 C 1.30
2 Na 0.3171 0.3352 0.5972  5 O 2.26-2.42
3 C 0.6968 0.7142 0.1335  3 O 1.30-1.31
4 O 0.7238 0.4785 0.2414  1 C 1.31
5 O 0.3084 0.4814 0.8645  1 O 1.36
6 Na 0.7512 0.2599 0.0336  5 O 2.29-2.55
7 O 0.4668 0.3241 0.8639  1 O 1.36
8 O 0.4596 0.7400 0.2427  1 C 1.31
9 Na 0.2473 0.7705 0.0291  5 O 2.30-2.56

Entry 4:
Here is an optimized crystal structure of CsBa2VI from Alexandria via LeMat-Bulk. Energies are from PBE.

## Properties
The space group is P4/mmm, No. 123. The calculation puts the formation energy from raw total energies at 0.96 eV/atom.

Cell lengths 7.2305, 6.5431, 7.2305 Å; angles 90.00, 90.00, 90.00 degrees
With the nearest neighbours (Å) after each atom.
Sites, in units of the cell vectors:
1 Ba 0.5000 0.0000 0.0000  2 Cs 3.62
2 V 0.5000 0.5000 0.5000  8 Ba 4.88, 4 I 5.11
3 Cs 0.0000 0.0000 0.0000  2 I 3.27, 4 Ba 3.62
4 Ba 0.0000 0.0000 0.5000  2 Cs 3.62
5 I 0.0000 0.5000 0.0000  2 Cs 3.27

Entry 5:
Here is an optimized crystal structure of ScTlCd2 from Alexandria via LeMat-Bulk. Energies are from PBE.

## Properties
The space group is R3m, No. 160. The energy relative to the lowest polymorph listed for this composition comes out at 0.166 eV/atom. The formation energy comes out at -0.059 eV/f.u.

Cell lengths 10.0846, 10.0846, 10.0846 Å; angles 19.26, 19.26, 19.26 degrees
With the nearest neighbours (Å) after each atom.
Sites, in units of the cell vectors:
1 Cd 0.2489 0.2489 0.2489  3 Sc 3.08, 9 Cd 3.13-3.37
2 Sc 0.5018 0.5018 0.5018  3 Cd 3.08, 3 Tl 3.16, 6 Sc 3.37
3 Cd 0.9980 0.9980 0.9980  9 Cd 3.13-3.37, 3 Tl 3.23
4 Tl 0.7513 0.7513 0.7513  3 Sc 3.16, 3 Cd 3.23, 6 Tl 3.37

Entry 6:
Here is an optimized crystal structure of NaIrN3 from Alexandria via LeMat-Bulk. Energies are from PBE.

## Properties
The space group is Pm-3m, No. 221. The calculation puts the formation energy from raw total energies at 1.02 eV/atom.

Cell lengths 3.8675, 3.8675, 3.8675 Å; angles 90.00, 90.00, 90.00 degrees
With the nearest neighbours (Å) after each atom.
Sites, in units of the cell vectors:
1 N 0.0000 0.0000 0.5000  2 Ir 1.93
2 Ir 0.0000 0.0000 0.0000  6 N 1.93
3 Na 0.5000 0.5000 0.5000  12 N 2.73
4 N 0.5000 0.0000 0.0000  2 Ir 1.93
5 N 0.0000 0.5000 0.0000  2 Ir 1.93

Entry 7:
Here is an optimized crystal structure of Pm2H4Pt from Alexandria via LeMat-Bulk. Energies are from PBE.

## Properties
The space group is I4/mmm, No. 139. As for the final energy: -32.2 eV/cell.

Cell lengths 3.5836, 3.5836, 7.3810 Å; angles 75.95, 75.95, 90.00 degrees
With the nearest neighbours (Å) after each atom.
Sites, in units of the cell vectors:
1 Pm 0.3508 0.3508 0.2985  5 H 2.32-2.58
2 H 0.8164 0.8164 0.3673  5 Pm 2.32-2.58, 1 Pt 2.55
3 Pm 0.6492 0.6492 0.7015  5 H 2.32-2.58
4 Pt 0.0000 0.0000 0.0000  4 H 1.79
5 H 0.5000 0.0000 0.0000  2 Pt 1.79
6 H 0.0000 0.5000 0.0000  2 Pt 1.79
7 H 0.1836 0.1836 0.6327  5 Pm 2.32-2.58, 1 Pt 2.55

Entry 8:
Here is an optimized crystal structure of CeHo5In4 from Alexandria via LeMat-Bulk. Energies are from PBE.

## Properties
The space group is P4/mmm, No. 123. The formation energy comes out at -3.594 eV/f.u.

Cell lengths 3.5044, 3.5044, 21.9215 Å; angles 90.00, 90.00, 90.00 degrees
With the nearest neighbours (Å) after each atom.
Sites, in units of the cell vectors:
1 Ho 0.5000 0.5000 0.3054  8 In 3.27-3.28, 4 Ho 3.50
2 Ce 0.0000 0.0000 0.0000  8 Ho 3.48, 4 Ce 3.50
3 In 0.0000 0.0000 0.7924  8 Ho 3.26-3.28, 4 In 3.50
4 In 0.0000 0.0000 0.5975  8 Ho 3.27, 4 In 3.50
5 In 0.0000 0.0000 0.2076  8 Ho 3.26-3.28, 4 In 3.50
6 In 0.0000 0.0000 0.4025  8 Ho 3.27, 4 In 3.50
7 Ho 0.5000 0.5000 0.8888  4 In 3.26, 4 Ce 3.48, 4 Ho 3.50
8 Ho 0.5000 0.5000 0.1112  4 In 3.26, 4 Ce 3.48, 4 Ho 3.50
9 Ho 0.5000 0.5000 0.6946  8 In 3.27-3.28, 4 Ho 3.50
10 Ho 0.5000 0.5000 0.5000  8 In 3.27, 4 Ho 3.50

Entry 9:
Here is an optimized crystal structure of Ba4LiGa4 from Alexandria via LeMat-Bulk. Energies are from PBE.

## Properties
The space group is P4_2/n, No. 86. The formation energy comes out at -2.590 eV/f.u.

Cell lengths 6.7159, 9.4749, 9.4749 Å; angles 90.00, 90.00, 90.00 degrees
With the nearest neighbours (Å) after each atom.
Sites, in units of the cell vectors:
1 Ga 0.6382 0.9996 0.8475  3 Ga 2.76-2.89, 1 Li 2.83
2 Ba 0.1747 0.0012 0.2996  1 Li 3.07, 3 Ga 3.41-3.43
3 Ba 0.6747 0.7996 0.4988  1 Li 3.07, 3 Ga 3.41-3.43
4 Ga 0.3618 0.8475 0.0004  3 Ga 2.76-2.89, 1 Li 2.83
5 Ba 0.3253 0.4988 0.2004  1 Li 3.07, 3 Ga 3.41-3.43
6 Li 0.0000 0.0000 0.0000  4 Ga 2.83, 4 Ba 3.07
7 Ba 0.8253 0.7004 0.0012  1 Li 3.07, 3 Ga 3.41-3.43
8 Ba 0.8253 0.2996 0.9988  1 Li 3.07, 3 Ga 3.41-3.43
9 Ba 0.6747 0.2004 0.5012  1 Li 3.07, 3 Ga 3.41-3.43
10 Ga 0.1382 0.6525 0.4996  3 Ga 2.76-2.89, 1 Li 2.83
11 Ba 0.3253 0.5012 0.7996  1 Li 3.07, 3 Ga 3.41-3.43
12 Ga 0.8618 0.5004 0.6525  3 Ga 2.76-2.89, 1 Li 2.83
13 Li 0.5000 0.5000 0.5000  4 Ga 2.83, 4 Ba 3.07
14 Ga 0.1382 0.3475 0.5004  3 Ga 2.76-2.89, 1 Li 2.83
15 Ba 0.1747 0.9988 0.7004  1 Li 3.07, 3 Ga 3.41-3.43
16 Ga 0.3618 0.1525 0.9996  3 Ga 2.76-2.89, 1 Li 2.83
17 Ga 0.8618 0.4996 0.3475  3 Ga 2.76-2.89, 1 Li 2.83
18 Ga 0.6382 0.0004 0.1525  3 Ga 2.76-2.89, 1 Li 2.83

Entry 10:
Here is an optimized crystal structure of LaSbAu2 from Alexandria via LeMat-Bulk. Energies are from PBE.

## Properties
The space group is Imm2, No. 44. The calculation puts the formation energy from raw total energies at -0.59 eV/atom.

Cell lengths 6.4879, 6.4879, 4.2407 Å; angles 70.92, 70.92, 37.39 degrees
With the nearest neighbours (Å) after each atom.
Sites, in units of the cell vectors:
1 Au 0.7412 0.7412 0.7587  4 Sb 2.97, 2 Au 3.00
2 Au 0.0538 0.0538 0.9463  2 Au 3.00, 2 Sb 3.00-3.01, 4 La 3.14
3 Sb 0.2384 0.2384 0.2616  6 Au 2.97-3.01
4 La 0.4666 0.4666 0.5334  6 Au 3.14-3.33, 2 Sb 3.38

Entry 11:
Here is an optimized crystal structure of TaTiNi from Alexandria via LeMat-Bulk. Energies are from PBE.

## Properties
The space group is Fmmm, No. 69. The energy relative to the lowest polymorph listed for this composition comes out at 0.000 eV/atom. The formation energy comes out at -0.788 eV/f.u.

Cell lengths 4.8896, 4.8896, 5.0691 Å; angles 103.89, 103.89, 120.16 degrees
With the nearest neighbours (Å) after each atom.
Sites, in units of the cell vectors:
1 Ta 0.6605 0.3395 0.0000  4 Ni 2.65, 3 Ta 2.72-2.87
2 Ni 0.7500 0.2500 0.5000  2 Ni 2.44, 4 Ti 2.58, 4 Ta 2.65
3 Ti 0.8440 0.8440 0.6880  4 Ni 2.58, 1 Ti 2.77
4 Ta 0.3395 0.6605 0.0000  4 Ni 2.65, 3 Ta 2.72-2.87
5 Ti 0.1560 0.1560 0.3120  4 Ni 2.58, 1 Ti 2.77
6 Ni 0.2500 0.7500 0.5000  2 Ni 2.44, 4 Ti 2.58, 4 Ta 2.65

Entry 12:
Here is an optimized crystal structure of NbTcIr2 from Alexandria via LeMat-Bulk. Energies are from PBE.

## Properties
The space group is P4/mmm, No. 123. The energy relative to the lowest polymorph listed for this composition comes out at 0.000 eV/atom. The formation energy comes out at -1.764 eV/f.u.

Cell lengths 3.9290, 3.9376, 3.9376 Å; angles 90.00, 90.00, 90.00 degrees
With the nearest neighbours (Å) after each atom.
Sites, in units of the cell vectors:
1 Ir 0.0000 0.0000 0.5000  4 Nb 2.78, 4 Tc 2.78, 4 Ir 2.78
2 Ir 0.0000 0.5000 0.0000  4 Nb 2.78, 4 Tc 2.78, 4 Ir 2.78
3 Tc 0.5000 0.5000 0.5000  8 Ir 2.78, 4 Nb 2.78
4 Nb 0.5000 0.0000 0.0000  8 Ir 2.78, 4 Tc 2.78